w:
Compound: MgNbOs3
Source: the Alexandria database
Functional: PBE-GGA
Structure: relaxed

Total moment (μB per formula unit): 0.65

a = 4.7701 Å, b = 4.7701 Å, c = 4.7701 Å
α = 90.00°, β = 90.00°, γ = 90.00°
Closest atoms and distances in Å follow each position.
Fractional positions:
1 Nb 0.0000 0.0000 0.0000  6 Os 2.39
2 Os 0.0000 0.5000 0.0000  2 Nb 2.39
3 Os 0.0000 0.0000 0.5000  2 Nb 2.39
4 Os 0.5000 0.0000 0.0000  2 Nb 2.39
5 Mg 0.5000 0.5000 0.5000  12 Os 3.37

x:
Compound: MgNbOs3
Source: the Alexandria database
Functional: PBE-GGA
Structure: relaxed

Total moment (μB per formula unit): 0.00

a = 4.4007 Å, b = 4.4007 Å, c = 4.4007 Å
α = 90.00°, β = 90.00°, γ = 90.00°
Closest atoms and distances in Å follow each position.
Fractional positions:
1 Nb 0.5000 0.5000 0.5000  12 Os 3.11
2 Os 0.0000 0.5000 0.0000  2 Mg 2.20
3 Os 0.0000 0.0000 0.5000  2 Mg 2.20
4 Os 0.5000 0.0000 0.0000  2 Mg 2.20
5 Mg 0.0000 0.0000 0.0000  6 Os 2.20

Relative energies, unit meV per atom: w 120; x 0

w:
Compound: MgNb2Os2
Source: the Alexandria database
Functional: PBE-GGA
Structure: relaxed

Total moment (μB per formula unit): 0.00

a = 7.7533 Å, b = 7.7533 Å, c = 2.9610 Å
α = 90.00°, β = 90.00°, γ = 90.00°
Closest atoms and distances in Å follow each position.
Fractional positions:
1 Nb 0.3525 0.8525 0.0000  6 Os 2.69-2.73, 2 Nb 2.96, 2 Mg 2.96
2 Nb 0.8525 0.6475 0.0000  6 Os 2.69-2.73, 2 Nb 2.96, 2 Mg 2.96
3 Nb 0.6475 0.1475 0.0000  6 Os 2.69-2.73, 2 Nb 2.96, 2 Mg 2.96
4 Nb 0.1475 0.3525 0.0000  6 Os 2.69-2.73, 2 Nb 2.96, 2 Mg 2.96
5 Os 0.1479 0.6479 0.5000  6 Nb 2.69-2.73, 2 Os 2.96
6 Os 0.6479 0.8521 0.5000  6 Nb 2.69-2.73, 2 Os 2.96
7 Os 0.8521 0.3521 0.5000  6 Nb 2.69-2.73, 2 Os 2.96
8 Os 0.3521 0.1479 0.5000  6 Nb 2.69-2.73, 2 Os 2.96
9 Mg 0.0000 0.0000 0.0000  2 Mg 2.96, 4 Nb 2.96, 8 Os 3.31
10 Mg 0.5000 0.5000 0.0000  2 Mg 2.96, 4 Nb 2.96, 8 Os 3.31

x:
Compound: MgNb2Os2
Source: the Alexandria database
Functional: PBE-GGA
Structure: relaxed

Total moment (μB per formula unit): 0.00

a = 7.6269 Å, b = 7.6269 Å, c = 3.0454 Å
α = 90.00°, β = 90.00°, γ = 90.00°
Closest atoms and distances in Å follow each position.
Fractional positions:
1 Nb 0.1553 0.6553 0.5000  6 Os 2.67-2.73
2 Nb 0.6553 0.8447 0.5000  6 Os 2.67-2.73
3 Nb 0.8447 0.3447 0.5000  6 Os 2.67-2.73
4 Nb 0.3447 0.1553 0.5000  6 Os 2.67-2.73
5 Os 0.3587 0.8587 0.0000  6 Nb 2.67-2.73, 2 Mg 2.94
6 Os 0.8587 0.6413 0.0000  6 Nb 2.67-2.73, 2 Mg 2.94
7 Os 0.6413 0.1413 0.0000  6 Nb 2.67-2.73, 2 Mg 2.94
8 Os 0.1413 0.3587 0.0000  6 Nb 2.67-2.73, 2 Mg 2.94
9 Mg 0.0000 0.0000 0.0000  4 Os 2.94, 2 Mg 3.05, 8 Nb 3.26
10 Mg 0.5000 0.5000 0.0000  4 Os 2.94, 2 Mg 3.05, 8 Nb 3.26

Relative energies, unit meV per atom: w 109; x 0

w:
Compound: Mg3NbP
Source: the Alexandria database
Functional: PBE-GGA
Structure: relaxed

Total moment (μB per formula unit): 3.01

a = 4.8709 Å, b = 4.8709 Å, c = 4.8709 Å
α = 90.00°, β = 90.00°, γ = 90.00°
Closest atoms and distances in Å follow each position.
Fractional positions:
1 P 0.0000 0.0000 0.0000  6 Mg 2.44
2 Nb 0.5000 0.5000 0.5000  12 Mg 3.44
3 Mg 0.0000 0.5000 0.0000  2 P 2.44
4 Mg 0.0000 0.0000 0.5000  2 P 2.44
5 Mg 0.5000 0.0000 0.0000  2 P 2.44

x:
Compound: Mg3NbP
Source: the Alexandria database
Functional: PBE-GGA
Structure: relaxed

Total moment (μB per formula unit): 2.43

a = 5.3455 Å, b = 5.3455 Å, c = 5.3455 Å
α = 90.00°, β = 90.00°, γ = 90.00°
Closest atoms and distances in Å follow each position.
Fractional positions:
1 P 0.5000 0.5000 0.5000  12 Mg 3.78
2 Nb 0.0000 0.0000 0.0000  6 Mg 2.67
3 Mg 0.0000 0.5000 0.0000  2 Nb 2.67
4 Mg 0.0000 0.0000 0.5000  2 Nb 2.67
5 Mg 0.5000 0.0000 0.0000  2 Nb 2.67

Relative energies, unit meV per atom: w 0; x 903

w:
Compound: MgNbPS2
Source: the Alexandria database
Functional: PBE-GGA
Structure: relaxed

Total moment (μB per formula unit): 0.00

a = 4.7455 Å, b = 4.7455 Å, c = 5.0214 Å
α = 90.00°, β = 90.00°, γ = 90.00°
Closest atoms and distances in Å follow each position.
Fractional positions:
1 Mg 0.5000 0.5000 0.5000  4 P 3.36, 8 S 3.45
2 P 0.0000 0.0000 0.5000  2 Nb 2.51
3 Nb 0.0000 0.0000 0.0000  4 S 2.37, 2 P 2.51
4 S 0.0000 0.5000 0.0000  2 Nb 2.37
5 S 0.5000 0.0000 0.0000  2 Nb 2.37

x:
Compound: MgNbPS2
Source: the Alexandria database
Functional: PBE-GGA
Structure: relaxed

Total moment (μB per formula unit): 0.00

a = 4.5453 Å, b = 4.5453 Å, c = 4.7938 Å
α = 90.00°, β = 90.00°, γ = 90.00°
Closest atoms and distances in Å follow each position.
Fractional positions:
1 Mg 0.0000 0.0000 0.0000  4 S 2.27, 2 P 2.40
2 P 0.0000 0.0000 0.5000  2 Mg 2.40
3 Nb 0.5000 0.5000 0.5000  4 P 3.21, 8 S 3.30
4 S 0.0000 0.5000 0.0000  2 Mg 2.27
5 S 0.5000 0.0000 0.0000  2 Mg 2.27

Relative energies, unit meV per atom: w 0; x 890

w:
Compound: Mg3NbPb
Source: the Alexandria database
Functional: PBE-GGA
Structure: relaxed

Total moment (μB per formula unit): 4.40

a = 5.3623 Å, b = 5.3623 Å, c = 5.3623 Å
α = 90.00°, β = 90.00°, γ = 90.00°
Closest atoms and distances in Å follow each position.
Fractional positions:
1 Pb 0.0000 0.0000 0.0000  6 Mg 2.68
2 Nb 0.5000 0.5000 0.5000  12 Mg 3.79
3 Mg 0.0000 0.5000 0.0000  2 Pb 2.68
4 Mg 0.0000 0.0000 0.5000  2 Pb 2.68
5 Mg 0.5000 0.0000 0.0000  2 Pb 2.68

x:
Compound: Mg3NbPb
Source: the Alexandria database
Functional: PBE-GGA
Structure: relaxed

Total moment (μB per formula unit): 2.75

a = 5.3784 Å, b = 5.3784 Å, c = 5.3784 Å
α = 90.00°, β = 90.00°, γ = 90.00°
Closest atoms and distances in Å follow each position.
Fractional positions:
1 Pb 0.5000 0.5000 0.5000  12 Mg 3.80
2 Nb 0.0000 0.0000 0.0000  6 Mg 2.69
3 Mg 0.0000 0.5000 0.0000  2 Nb 2.69
4 Mg 0.0000 0.0000 0.5000  2 Nb 2.69
5 Mg 0.5000 0.0000 0.0000  2 Nb 2.69

Relative energies, unit meV per atom: w 149; x 0

w:
Compound: Mg3NbPd
Source: the Alexandria database
Functional: PBE-GGA
Structure: relaxed

Total moment (μB per formula unit): 3.65

a = 5.2728 Å, b = 5.2728 Å, c = 5.2728 Å
α = 90.00°, β = 90.00°, γ = 90.00°
Closest atoms and distances in Å follow each position.
Fractional positions:
1 Nb 0.0000 0.0000 0.0000  6 Mg 2.64
2 Mg 0.0000 0.5000 0.0000  2 Nb 2.64
3 Mg 0.0000 0.0000 0.5000  2 Nb 2.64
4 Mg 0.5000 0.0000 0.0000  2 Nb 2.64
5 Pd 0.5000 0.5000 0.5000  12 Mg 3.73

x:
Compound: Mg3NbPd
Source: the Alexandria database
Functional: PBE-GGA
Structure: relaxed

Total moment (μB per formula unit): 1.30

a = 4.8110 Å, b = 4.8110 Å, c = 4.8110 Å
α = 90.00°, β = 90.00°, γ = 90.00°
Closest atoms and distances in Å follow each position.
Fractional positions:
1 Nb 0.5000 0.5000 0.5000  12 Mg 3.40
2 Mg 0.0000 0.5000 0.0000  2 Pd 2.41
3 Mg 0.0000 0.0000 0.5000  2 Pd 2.41
4 Mg 0.5000 0.0000 0.0000  2 Pd 2.41
5 Pd 0.0000 0.0000 0.0000  6 Mg 2.41

Relative energies, unit meV per atom: w 867; x 0

w:
Compound: MgNbPd3
Source: the Alexandria database
Functional: PBE-GGA
Structure: relaxed

Total moment (μB per formula unit): 0.00

a = 4.5301 Å, b = 4.5301 Å, c = 4.5301 Å
α = 90.00°, β = 90.00°, γ = 90.00°
Closest atoms and distances in Å follow each position.
Fractional positions:
1 Nb 0.5000 0.5000 0.5000  12 Pd 3.20
2 Mg 0.0000 0.0000 0.0000  6 Pd 2.27
3 Pd 0.0000 0.5000 0.0000  2 Mg 2.27
4 Pd 0.0000 0.0000 0.5000  2 Mg 2.27
5 Pd 0.5000 0.0000 0.0000  2 Mg 2.27

x:
Compound: MgNbPd3
Source: the Alexandria database
Functional: PBE-GGA
Structure: relaxed

Total moment (μB per formula unit): 0.00

a = 4.8571 Å, b = 4.8571 Å, c = 4.8571 Å
α = 90.00°, β = 90.00°, γ = 90.00°
Closest atoms and distances in Å follow each position.
Fractional positions:
1 Nb 0.0000 0.0000 0.0000  6 Pd 2.43
2 Mg 0.5000 0.5000 0.5000  12 Pd 3.43
3 Pd 0.0000 0.5000 0.0000  2 Nb 2.43
4 Pd 0.0000 0.0000 0.5000  2 Nb 2.43
5 Pd 0.5000 0.0000 0.0000  2 Nb 2.43

Relative energies, unit meV per atom: w 75; x 0

w:
Compound: Mg2NbPt
Source: the Alexandria database
Functional: PBE-GGA
Structure: relaxed

Total moment (μB per formula unit): 0.00

a = 7.5891 Å, b = 7.5891 Å, c = 6.0068 Å
α = 50.82°, β = 50.82°, γ = 90.00°
Closest atoms and distances in Å follow each position.
Fractional positions:
1 Nb 0.5000 0.5000 0.0000  2 Pt 2.70, 4 Mg 2.97
2 Nb 0.2500 0.7500 0.5000  2 Pt 2.70, 4 Mg 2.97
3 Mg 0.6622 0.1250 0.2500  2 Pt 2.58, 2 Mg 2.76
4 Mg 0.0878 0.6250 0.2500  2 Pt 2.58, 2 Mg 2.76
5 Mg 0.3750 0.3378 0.7500  2 Pt 2.58, 2 Mg 2.76
6 Mg 0.8750 0.9122 0.7500  2 Pt 2.58, 2 Mg 2.76
7 Pt 0.0000 0.0000 0.0000  4 Mg 2.58, 2 Nb 2.70
8 Pt 0.7500 0.2500 0.5000  4 Mg 2.58, 2 Nb 2.70

x:
Compound: Mg2NbPt
Source: the Alexandria database
Functional: PBE-GGA
Structure: relaxed

Total moment (μB per formula unit): 1.47

a = 4.6099 Å, b = 4.6099 Å, c = 4.6099 Å
α = 60.00°, β = 60.00°, γ = 60.00°
Closest atoms and distances in Å follow each position.
Fractional positions:
1 Nb 0.0000 0.0000 0.0000  8 Mg 2.82
2 Mg 0.2500 0.2500 0.2500  4 Pt 2.82, 4 Nb 2.82
3 Mg 0.7500 0.7500 0.7500  4 Pt 2.82, 4 Nb 2.82
4 Pt 0.5000 0.5000 0.5000  8 Mg 2.82

Relative energies, unit meV per atom: w 197; x 0

w:
Compound: Mg2Nb2Pt
Source: the Alexandria database
Functional: PBE-GGA
Structure: relaxed

Total moment (μB per formula unit): 0.00

a = 3.5654 Å, b = 3.5654 Å, c = 8.5597 Å
α = 77.98°, β = 77.98°, γ = 90.00°
Closest atoms and distances in Å follow each position.
Fractional positions:
1 Nb 0.7500 0.2500 0.5000  4 Nb 2.52
2 Nb 0.2500 0.7500 0.5000  4 Nb 2.52
3 Mg 0.4133 0.4133 0.1734  1 Mg 2.84, 4 Pt 2.89
4 Mg 0.5867 0.5867 0.8266  1 Mg 2.84, 4 Pt 2.89
5 Pt 0.0000 0.0000 0.0000  8 Mg 2.89

x:
Compound: Mg2Nb2Pt
Source: the Alexandria database
Functional: PBE-GGA
Structure: relaxed

Total moment (μB per formula unit): 0.00

a = 6.6091 Å, b = 6.6091 Å, c = 4.7858 Å
α = 90.00°, β = 90.00°, γ = 90.00°
Closest atoms and distances in Å follow each position.
Fractional positions:
1 Nb 0.3662 0.8662 0.0000  1 Nb 2.50, 2 Pt 2.58
2 Nb 0.8662 0.6338 0.0000  1 Nb 2.50, 2 Pt 2.58
3 Nb 0.6338 0.1338 0.0000  1 Nb 2.50, 2 Pt 2.58
4 Nb 0.1338 0.3662 0.0000  1 Nb 2.50, 2 Pt 2.58
5 Mg 0.1644 0.6644 0.5000  6 Nb 3.05-3.11, 1 Mg 3.07
6 Mg 0.6644 0.8356 0.5000  6 Nb 3.05-3.11, 1 Mg 3.07
7 Mg 0.8356 0.3356 0.5000  6 Nb 3.05-3.11, 1 Mg 3.07
8 Mg 0.3356 0.1644 0.5000  6 Nb 3.05-3.11, 1 Mg 3.07
9 Pt 0.0000 0.0000 0.0000  4 Nb 2.58
10 Pt 0.5000 0.5000 0.0000  4 Nb 2.58

y:
Compound: Mg2Nb2Pt
Source: the Alexandria database
Functional: PBE-GGA
Structure: relaxed

Total moment (μB per formula unit): 0.00

a = 3.6983 Å, b = 3.6983 Å, c = 7.7634 Å
α = 76.22°, β = 76.22°, γ = 90.00°
Closest atoms and distances in Å follow each position.
Fractional positions:
1 Nb 0.4185 0.4185 0.1630  1 Nb 2.38
2 Nb 0.5815 0.5815 0.8370  1 Nb 2.38
3 Mg 0.7500 0.2500 0.5000  4 Mg 2.62
4 Mg 0.2500 0.7500 0.5000  4 Mg 2.62
5 Pt 0.0000 0.0000 0.0000  8 Nb 2.87

Relative energies, unit meV per atom: w 58; x 0; y 202

w:
Compound: MgNbPt3
Source: the Alexandria database
Functional: PBE-GGA
Structure: relaxed

Total moment (μB per formula unit): 0.00

a = 4.5444 Å, b = 4.5444 Å, c = 4.5444 Å
α = 90.00°, β = 90.00°, γ = 90.00°
Closest atoms and distances in Å follow each position.
Fractional positions:
1 Nb 0.5000 0.5000 0.5000  12 Pt 3.21
2 Mg 0.0000 0.0000 0.0000  6 Pt 2.27
3 Pt 0.0000 0.5000 0.0000  2 Mg 2.27
4 Pt 0.0000 0.0000 0.5000  2 Mg 2.27
5 Pt 0.5000 0.0000 0.0000  2 Mg 2.27

x:
Compound: MgNbPt3
Source: the Alexandria database
Functional: PBE-GGA
Structure: relaxed

Total moment (μB per formula unit): 0.00

a = 4.8945 Å, b = 4.8945 Å, c = 4.8945 Å
α = 90.00°, β = 90.00°, γ = 90.00°
Closest atoms and distances in Å follow each position.
Fractional positions:
1 Nb 0.0000 0.0000 0.0000  6 Pt 2.45
2 Mg 0.5000 0.5000 0.5000  12 Pt 3.46
3 Pt 0.0000 0.5000 0.0000  2 Nb 2.45
4 Pt 0.0000 0.0000 0.5000  2 Nb 2.45
5 Pt 0.5000 0.0000 0.0000  2 Nb 2.45

Relative energies, unit meV per atom: w 227; x 0

w:
Compound: RbMgNb3
Source: the Alexandria database
Functional: PBE-GGA
Structure: relaxed

Total moment (μB per formula unit): 0.00

a = 4.8371 Å, b = 4.8371 Å, c = 4.8371 Å
α = 90.00°, β = 90.00°, γ = 90.00°
Closest atoms and distances in Å follow each position.
Fractional positions:
1 Nb 0.0000 0.5000 0.0000  2 Rb 2.42
2 Nb 0.0000 0.0000 0.5000  2 Rb 2.42
3 Nb 0.5000 0.0000 0.0000  2 Rb 2.42
4 Mg 0.5000 0.5000 0.5000  12 Nb 3.42
5 Rb 0.0000 0.0000 0.0000  6 Nb 2.42

x:
Compound: RbMgNb3
Source: the Alexandria database
Functional: PBE-GGA
Structure: relaxed

Total moment (μB per formula unit): 0.84

a = 5.0821 Å, b = 5.0821 Å, c = 5.0821 Å
α = 90.00°, β = 90.00°, γ = 90.00°
Closest atoms and distances in Å follow each position.
Fractional positions:
1 Nb 0.0000 0.5000 0.0000  2 Mg 2.54
2 Nb 0.0000 0.0000 0.5000  2 Mg 2.54
3 Nb 0.5000 0.0000 0.0000  2 Mg 2.54
4 Mg 0.0000 0.0000 0.0000  6 Nb 2.54
5 Rb 0.5000 0.5000 0.5000  12 Nb 3.59

Relative energies, unit meV per atom: w 396; x 0

w:
Compound: RbMg2Nb
Source: the Alexandria database
Functional: PBE-GGA
Structure: relaxed

Total moment (μB per formula unit): 3.84

a = 8.8148 Å, b = 8.8148 Å, c = 7.1544 Å
α = 51.97°, β = 51.97°, γ = 90.00°
Closest atoms and distances in Å follow each position.
Fractional positions:
1 Nb 0.0000 0.0000 0.0000  4 Mg 2.91
2 Nb 0.7500 0.2500 0.5000  4 Mg 2.91
3 Mg 0.6831 0.1250 0.2500  2 Nb 2.91
4 Mg 0.0669 0.6250 0.2500  2 Nb 2.91
5 Mg 0.3750 0.3169 0.7500  2 Nb 2.91
6 Mg 0.8750 0.9331 0.7500  2 Nb 2.91
7 Rb 0.5000 0.5000 0.0000  2 Nb 3.51, 8 Mg 3.61-3.83
8 Rb 0.2500 0.7500 0.5000  2 Nb 3.51, 8 Mg 3.61-3.83

x:
Compound: RbMg2Nb
Source: the Alexandria database
Functional: PBE-GGA
Structure: relaxed

Total moment (μB per formula unit): 3.61

a = 5.4781 Å, b = 5.4781 Å, c = 5.4781 Å
α = 60.00°, β = 60.00°, γ = 60.00°
Closest atoms and distances in Å follow each position.
Fractional positions:
1 Nb 0.5000 0.5000 0.5000  8 Mg 3.35
2 Mg 0.2500 0.2500 0.2500  4 Nb 3.35, 4 Rb 3.35
3 Mg 0.7500 0.7500 0.7500  4 Nb 3.35, 4 Rb 3.35
4 Rb 0.0000 0.0000 0.0000  8 Mg 3.35

Relative energies, unit meV per atom: w 131; x 0

w:
Compound: MgNb2Rh
Source: the Alexandria database
Functional: PBE-GGA
Structure: relaxed

Total moment (μB per formula unit): 0.00

a = 4.6017 Å, b = 4.6017 Å, c = 4.6017 Å
α = 60.00°, β = 60.00°, γ = 60.00°
Closest atoms and distances in Å follow each position.
Fractional positions:
1 Nb 0.2500 0.2500 0.2500  4 Mg 2.82, 4 Rh 2.82
2 Nb 0.7500 0.7500 0.7500  4 Mg 2.82, 4 Rh 2.82
3 Rh 0.5000 0.5000 0.5000  8 Nb 2.82
4 Mg 0.0000 0.0000 0.0000  8 Nb 2.82

x:
Compound: MgNb2Rh
Source: the Alexandria database
Functional: PBE-GGA
Structure: relaxed

Total moment (μB per formula unit): 0.00

a = 2.8647 Å, b = 2.8647 Å, c = 10.4528 Å
α = 82.12°, β = 82.12°, γ = 60.00°
Closest atoms and distances in Å follow each position.
Fractional positions:
1 Nb 0.0936 0.0936 0.7192  3 Rh 2.80, 6 Nb 2.86, 1 Mg 2.90
2 Nb 0.9064 0.9064 0.2808  3 Rh 2.80, 6 Nb 2.86, 1 Mg 2.90
3 Rh 0.5000 0.5000 0.5000  6 Nb 2.80, 6 Rh 2.86
4 Mg 0.0000 0.0000 0.0000  6 Mg 2.86, 2 Nb 2.90

Relative energies, unit meV per atom: w 0; x 30